1.
5
Lattice="4.6566 0.0000 0.0000 0.0000 4.4675 0.0000 0.0000 0.0000 4.6566" Properties=species:S:1:pos:R:3 comment="PBE Al2CrHgOs, relaxed" e_form_kcal_per_mol_atoms=20.7 space_group="P4/mmm, No. 123" pbc="T T T"
Cr 0.0000 0.0000 0.0000
Os 0.0000 2.2337 0.0000
Hg 2.3283 2.2337 2.3283
Al 0.0000 0.0000 2.3283
Al 2.3283 0.0000 0.0000

=====

2.
5
Lattice="4.7466 0.0000 0.0000 0.0000 4.9398 0.0000 0.0000 0.0000 4.7466" Properties=species:S:1:pos:R:3 comment="PBE Al2CrReHg, relaxed" e_form_kcal_per_mol_atoms=41.4 space_group="P4/mmm, No. 123" pbc="T T T"
Re 2.3733 2.4699 2.3733
Al 0.0000 0.0000 2.3733
Al 2.3733 0.0000 0.0000
Hg 0.0000 0.0000 0.0000
Cr 0.0000 2.4699 0.0000

=====

3.
13
Lattice="-3.3599 3.8330 -1.0526 -1.0277 0.5921 -6.9670 -6.5038 -2.2129 -0.1656" Properties=species:S:1:pos:R:3 comment="PBE HoAl11Cr, relaxed" e_form_kcal_per_mol_atoms=-3.5 space_group="C2/m, No. 12" pbc="T T T"
Ho 0.0000 0.0000 0.0000
Al -2.5846 0.7629 -1.8917
Al -8.3069 1.4494 -6.2935
Al -3.8626 1.8993 -5.9739
Al -7.0289 0.3130 -2.2113
Al -6.1649 0.3445 -4.9443
Al -4.7265 1.8677 -3.2409
Al -7.9107 2.4965 -3.6547
Al -2.9807 -0.2843 -4.5305
Al -0.5139 0.2961 -3.4835
Al -4.9319 0.8101 -0.6091
Al -3.2519 -1.1065 -0.0828
Cr -2.1938 2.2126 -4.0098

=====

4.
11
Lattice="4.8731 -0.0765 -0.1148 -0.9129 6.6997 -0.0875 -0.9129 -2.6611 6.1491" Properties=species:S:1:pos:R:3 comment="PBE HoAl8Cr2, relaxed" e_form_kcal_per_mol_atoms=1.1 space_group="C2/m, No. 12" pbc="T T T"
Ho 2.4365 -0.0383 -0.0574
Al 2.9653 4.2046 3.9384
Al 2.9653 2.0152 5.3971
Al 0.2380 2.3566 3.5371
Al 1.5237 4.0833 1.5727
Al 1.5237 -0.1212 4.3741
Al 2.8094 1.6055 2.4097
Al 0.0821 1.9469 0.5497
Al 0.0821 -0.2426 2.0084
Cr -0.9129 0.0819 4.3216
Cr -0.9129 3.9567 1.7400

=====

5.
4
Lattice="-3.1061 0.0905 0.4637 -1.9344 -1.4020 -2.0405 -1.1830 -8.1658 4.3133" Properties=species:S:1:pos:R:3 comment="PBE HoAl2Cr, relaxed" e_form_kcal_per_mol_atoms=4.3 space_group="R-3m, No. 166" pbc="T T T"
Cr 0.0000 0.0000 0.0000
Ho -3.1118 -4.7386 1.3683
Al -4.6505 -7.3739 2.2189
Al -1.5730 -2.1034 0.5176

=====

6.
10
Lattice="-0.8347 4.9060 4.2209 1.2651 -0.8984 6.3384 5.4227 2.9444 2.6941" Properties=species:S:1:pos:R:3 comment="PBE Ho2AlCrS6, relaxed" e_form_raw_mev_per_atom=-1375 space_group="R3, No. 146" pbc="T T T"
Ho 2.5246 3.3536 6.6895
Ho 4.9652 2.8051 2.7655
Al 0.3960 1.4127 3.4803
Cr 3.2618 4.8705 10.1166
S 1.1697 3.5098 4.3717
S 2.4923 0.8165 7.5807
S 1.3752 4.9617 8.5129
S 4.6348 3.9326 8.3477
S 3.7030 5.5223 5.4872
S 4.6793 2.2644 5.3823